DFT (PBE-GGA) results for an optimized crystal structure of Ta2In3Mo4N3.

Output
- calculated total energy (eV per cell) = -408.91
- total magnetic moment (μB/f.u.) = 0.0

Cell and atoms, written as CIF:
```
data_Ta2In3Mo4N3
_chemical_formula_sum 'Ta8 In12 Mo16 N12'
_cell_length_a 9.525
_cell_length_b 5.486
_cell_length_c 14.208
_cell_angle_alpha 90.00
_cell_angle_beta 102.59
_cell_angle_gamma 90.00
_symmetry_space_group_name_H-M 'C 1 2/c 1'
_symmetry_Int_Tables_number 15
loop_
_symmetry_equiv_pos_as_xyz
'x,y,z'
'-x,-y,-z'
'-x,y,-z+1/2'
'x,-y,z+1/2'
'x+1/2,y+1/2,z'
'-x+1/2,-y+1/2,-z'
'-x+1/2,y+1/2,-z+1/2'
'x+1/2,-y+1/2,z+1/2'
loop_
_atom_site_label
_atom_site_fract_x
_atom_site_fract_y
_atom_site_fract_z
Ta1 0.066 0.091 0.418
In1 0.000 0.426 0.250
In2 0.171 0.091 0.747
Mo1 0.111 0.440 0.579
Mo2 0.212 0.404 0.921
N1 0.078 0.232 0.001
N2 0.250 0.250 0.500
```